# PBE CaHg2As, relaxed
data_CaHg2As
_cell_length_a 4.297
_cell_length_b 4.297
_cell_length_c 5.211
_cell_angle_alpha 90.00
_cell_angle_beta 90.00
_cell_angle_gamma 90.00
_space_group_name_H-M_alt 'P 4/m m m'
_space_group_IT_number 123
_space_group_name_Hall '-P 4 2'
loop_
_atom_site_label
_atom_site_fract_x
_atom_site_fract_y
_atom_site_fract_z
Ca1 0.000 0.000 0.000
Hg1 0.000 0.500 0.500
As1 0.500 0.500 0.000
# Magnetic moment (μB/f.u.): 0.000
# Formation enthalpy at 0 K (eV per formula unit): -1.7